# 1
A plane-wave DFT calculation with GGA-PBE was carried out for an optimized crystal structure of La2NdTc. Values from VASP.

space group = Pnma, No. 62
distance to the lowest polymorph of the same formula = 0.0 meV/atom
electronic total energy = -100.19 eV per cell
energy relative to the elements = -14 meV per atom

Cell and atoms, written as Quantum ESPRESSO input:
```
&SYSTEM
  ibrav = 0, nat = 16, ntyp = 3
/
ATOMIC_SPECIES
La 138.91 La.upf
Nd 144.24 Nd.upf
Tc 98.00 Tc.upf
ATOMIC_POSITIONS angstrom
La 1.296 0.686 1.098
La 1.296 4.254 1.098
La 2.421 5.626 4.429
La 2.421 9.194 4.429
La 5.013 0.686 2.232
La 5.013 4.254 2.232
La 6.139 5.626 5.563
La 6.139 9.194 5.563
Nd 0.445 2.470 4.262
Nd 3.272 7.410 0.931
Nd 4.163 2.470 5.730
Nd 6.989 7.410 2.399
Tc 0.591 7.410 6.298
Tc 3.126 2.470 2.967
Tc 4.309 7.410 3.694
Tc 6.843 2.470 0.363
CELL_PARAMETERS angstrom
7.435 0.000 0.000
0.000 9.880 0.000
0.000 0.000 6.661
```

=====

# 2
A plane-wave DFT calculation with GGA-PBE was carried out for an optimized crystal structure of La4NdTc. Values from VASP.

space group = C2/c, No. 15
electronic total energy = -69.49 eV per cell
energy relative to the elements = 16 meV per atom

Cell and atoms, written as Quantum ESPRESSO input:
```
&SYSTEM
  ibrav = 0, nat = 12, ntyp = 3
/
ATOMIC_SPECIES
La 138.91 La.upf
Nd 144.24 Nd.upf
Tc 98.00 Tc.upf
ATOMIC_POSITIONS angstrom
La 2.368 4.404 5.778
La 1.648 1.211 3.762
La 5.125 4.404 3.309
La 2.502 -1.211 0.733
La 5.844 1.211 5.325
La 3.221 -4.404 2.749
La 6.698 -1.211 2.296
La 5.978 -4.404 0.280
Nd 4.600 1.426 1.514
Nd 3.746 -1.426 4.543
Tc 3.746 6.449 4.543
Tc 4.600 -6.449 1.514
CELL_PARAMETERS angstrom
5.026 -6.503 0.000
5.026 6.503 0.000
-1.707 0.000 6.058
```

=====

# 3
A plane-wave DFT calculation with GGA-PBE was carried out for an optimized crystal structure of La2NdTc. Values from VASP.

space group = R-3m, No. 166
distance to the lowest polymorph of the same formula = 296.9 meV/atom
electronic total energy = -71.58 eV per cell
energy relative to the elements = 283 meV per atom

Cell and atoms, written as Quantum ESPRESSO input:
```
&SYSTEM
  ibrav = 0, nat = 12, ntyp = 3
/
ATOMIC_SPECIES
La 138.91 La.upf
Nd 144.24 Nd.upf
Tc 98.00 Tc.upf
ATOMIC_POSITIONS angstrom
La 0.000 0.000 2.676
La 0.000 0.000 9.045
La 0.000 3.321 5.138
La 0.000 3.321 10.489
La 2.876 1.660 1.231
La 2.876 1.660 6.583
Nd 0.000 0.000 5.860
Nd 0.000 3.321 1.953
Nd 2.876 1.660 9.767
Tc 0.000 0.000 0.000
Tc 0.000 3.321 7.814
Tc 2.876 1.660 3.907
CELL_PARAMETERS angstrom
5.751 0.000 0.000
-2.876 4.981 0.000
0.000 0.000 11.721
```

=====

# 4
A plane-wave DFT calculation with GGA-PBE was carried out for an optimized crystal structure of LaNd3Tc. Values from VASP.

space group = Cm, No. 8
distance to the lowest polymorph of the same formula = 0.0 meV/atom
electronic total energy = -58.88 eV per cell
energy relative to the elements = 31 meV per atom

Cell and atoms, written as Quantum ESPRESSO input:
```
&SYSTEM
  ibrav = 0, nat = 10, ntyp = 3
/
ATOMIC_SPECIES
La 138.91 La.upf
Nd 144.24 Nd.upf
Tc 98.00 Tc.upf
ATOMIC_POSITIONS angstrom
La 0.000 0.000 0.000
La -0.095 0.000 3.440
Nd 0.019 0.000 9.479
Nd 3.364 0.000 1.727
Nd 5.351 0.000 6.552
Nd 3.828 0.000 11.175
Nd 8.809 0.000 4.830
Nd 8.872 0.000 8.235
Tc 1.143 0.000 6.555
Tc 7.548 0.000 1.803
CELL_PARAMETERS angstrom
6.242 -2.020 0.000
6.242 2.020 0.000
-5.049 0.000 12.410
```

=====

# 5
A plane-wave DFT calculation with GGA-PBE was carried out for an optimized crystal structure of La3Nd5Te8. Values from VASP.

space group = R-3m, No. 166
electronic total energy = -87.55 eV per cell

Cell and atoms, written as Quantum ESPRESSO input:
```
&SYSTEM
  ibrav = 0, nat = 16, ntyp = 3
/
ATOMIC_SPECIES
La 138.91 La.upf
Nd 144.24 Nd.upf
Te 127.60 Te.upf
ATOMIC_POSITIONS angstrom
La -2.267 -1.309 7.393
La -2.267 1.309 14.787
La 0.000 2.617 7.393
Nd 0.000 0.000 0.000
Nd -4.533 0.000 11.090
Nd -2.267 1.309 3.697
Nd 2.267 1.309 3.697
Nd 0.000 0.000 11.090
Te -2.280 -1.317 12.916
Te 0.000 0.000 5.509
Te 0.000 -2.633 9.264
Te -2.280 1.317 9.264
Te 2.280 -1.317 12.916
Te 0.000 2.633 12.916
Te 0.000 0.000 16.671
Te 2.280 1.317 9.264
CELL_PARAMETERS angstrom
4.533 2.617 7.393
-4.533 2.617 7.393
0.000 -5.234 7.393
```

=====

# 6
A plane-wave DFT calculation with GGA-PBE was carried out for an optimized crystal structure of LaNd2Te. Values from VASP.

space group = P4/mmm, No. 123
distance to the lowest polymorph of the same formula = 87.8 meV/atom
electronic total energy = -20.08 eV per cell

Cell and atoms, written as Quantum ESPRESSO input:
```
&SYSTEM
  ibrav = 0, nat = 4, ntyp = 3
/
ATOMIC_SPECIES
La 138.91 La.upf
Nd 144.24 Nd.upf
Te 127.60 Te.upf
ATOMIC_POSITIONS angstrom
La 0.000 0.000 0.000
Nd 2.002 2.002 2.273
Nd 2.002 2.002 5.792
Te 0.000 0.000 4.033
CELL_PARAMETERS angstrom
4.005 0.000 0.000
0.000 4.005 0.000
0.000 0.000 8.065
```